Entry 1:
# PBE-GGA TaTlCr, optimized geometry
# D(E_F)	1.27	states/eV/atom
# calculated formation energy	1024	meV/atom
# energy above the most stable polymorph in this dataset	548	meV/atom
# E_tot	-20.772	eV per formula unit
data_TaTlCr
_chemical_formula_sum 'Ta1 Tl1 Cr1'
_cell_length_a 4.412
_cell_length_b 4.412
_cell_length_c 4.412
_cell_angle_alpha 60.00
_cell_angle_beta 60.00
_cell_angle_gamma 60.00
_symmetry_space_group_name_H-M 'P 1'
_symmetry_Int_Tables_number 1
_symmetry_space_group_name_Hall 'P 1'
loop_
_atom_site_label
_atom_site_fract_x
_atom_site_fract_y
_atom_site_fract_z
_atom_site_occupancy
Tl1 0.500 0.500 0.500 1
Cr1 0.750 0.750 0.750 1
Ta1 0.000 0.000 0.000 1

Entry 2:
# PBE-GGA Ta2TlCr, optimized geometry
# D(E_F)	1.22	states/eV/atom
# calculated formation energy	557	meV/atom
# energy above the most stable polymorph in this dataset	237	meV/atom
# E_tot	-33.466	eV per formula unit
data_Ta2TlCr
_chemical_formula_sum 'Ta2 Tl1 Cr1'
_cell_length_a 5.162
_cell_length_b 5.162
_cell_length_c 5.162
_cell_angle_alpha 133.13
_cell_angle_beta 133.13
_cell_angle_gamma 68.45
_symmetry_space_group_name_H-M 'P 1'
_symmetry_Int_Tables_number 1
_symmetry_space_group_name_Hall 'P 1'
loop_
_atom_site_label
_atom_site_fract_x
_atom_site_fract_y
_atom_site_fract_z
_atom_site_occupancy
Ta1 0.250 0.750 0.500 1
Ta2 0.000 0.000 0.000 1
Tl1 0.500 0.500 0.000 1
Cr1 0.750 0.250 0.500 1

Entry 3:
# PBE-GGA TaTlCr, optimized geometry
# D(E_F)	0.96	states/eV/atom
# calculated formation energy	625	meV/atom
# energy above the most stable polymorph in this dataset	149	meV/atom
# E_tot	-21.968	eV per formula unit
data_TaTlCr
_chemical_formula_sum 'Ta1 Tl1 Cr1'
_cell_length_a 3.061
_cell_length_b 3.061
_cell_length_c 7.072
_cell_angle_alpha 90.00
_cell_angle_beta 90.00
_cell_angle_gamma 120.00
_symmetry_space_group_name_H-M 'P 1'
_symmetry_Int_Tables_number 1
_symmetry_space_group_name_Hall 'P 1'
loop_
_atom_site_label
_atom_site_fract_x
_atom_site_fract_y
_atom_site_fract_z
_atom_site_occupancy
Cr1 0.000 0.000 0.014 1
Tl1 0.333 0.667 0.675 1
Ta1 0.667 0.333 0.311 1